Entry 1:
PmAgSeO: relaxed, GGA-PBE.

As for the crystal system: orthorhombic. The volume comes out at 19.24 Å³ per atom. Its symmetry is Pba2, No. 32. For the total energy, the calculation gives -5.933 eV/atom.

Cell and atoms, written as POSCAR:
```
PmAgSeO
1.0
5.7132 0.0000 0.0000
0.0000 5.7163 0.0000
0.0000 0.0000 9.4269
Pm Ag Se O
4 4 4 4
Direct
0.0000 0.0000 0.0000 Pm
0.0000 0.5000 0.2470 Pm
0.5000 0.0000 0.2470 Pm
0.5000 0.5000 0.0000 Pm
0.2320 0.2226 0.6255 Ag
0.2680 0.7226 0.6255 Ag
0.7320 0.2774 0.6255 Ag
0.7680 0.7774 0.6255 Ag
0.0000 0.0000 0.4174 Se
0.0000 0.5000 0.8277 Se
0.5000 0.0000 0.8277 Se
0.5000 0.5000 0.4174 Se
0.2493 0.2497 0.1230 O
0.2507 0.7497 0.1230 O
0.7493 0.2503 0.1230 O
0.7507 0.7503 0.1230 O
```

***

Entry 2:
TbGaSiPt2: relaxed, GGA-PBE.

As for the crystal system: tetragonal. The volume comes out at 18.10 Å³ per atom. Its symmetry is P4/nmm, No. 129. For the total energy, the calculation gives -6.042 eV/atom.

Cell and atoms, written as POSCAR:
```
TbGaSiPt2
1.0
4.2121 0.0000 0.0000
0.0000 4.2121 0.0000
0.0000 0.0000 10.2009
Tb Ga Si Pt
2 2 2 4
Direct
0.2500 0.2500 0.2391 Tb
0.7500 0.7500 0.7609 Tb
0.2500 0.2500 0.6401 Ga
0.7500 0.7500 0.3599 Ga
0.2500 0.7500 0.0000 Si
0.7500 0.2500 0.0000 Si
0.2500 0.2500 0.8831 Pt
0.2500 0.7500 0.5000 Pt
0.7500 0.2500 0.5000 Pt
0.7500 0.7500 0.1169 Pt
```

***

Entry 3:
Lu2Ni2BiAs: relaxed, GGA-PBE.

As for the crystal system: monoclinic. The volume comes out at 19.93 Å³ per atom. Its symmetry is Pm, No. 6. For the total energy, the calculation gives -5.589 eV/atom.

Cell and atoms, written as POSCAR:
```
Lu2Ni2BiAs
1.0
10.7504 0.0000 0.0000
0.0000 4.3887 0.0000
-3.5822 0.0000 10.1378
Lu Ni Bi As
8 8 4 4
Direct
0.0000 0.0000 0.0000 Lu
0.1182 0.5000 0.3736 Lu
0.2375 0.0000 0.7387 Lu
0.3750 0.5000 0.1385 Lu
0.5031 0.0000 0.4963 Lu
0.6281 0.5000 0.8641 Lu
0.7466 0.0000 0.2615 Lu
0.8669 0.5000 0.6188 Lu
0.1297 0.5000 0.1332 Ni
0.2396 0.0000 0.4872 Ni
0.3715 0.5000 0.8727 Ni
0.4986 0.0000 0.2573 Ni
0.6276 0.5000 0.6183 Ni
0.7483 0.0000 0.9897 Ni
0.8706 0.5000 0.3805 Ni
0.9854 0.0000 0.7390 Ni
0.1216 0.5000 0.8735 Bi
0.3716 0.5000 0.6201 Bi
0.4971 0.0000 0.9981 Bi
0.8699 0.5000 0.1244 Bi
0.2469 0.0000 0.2525 As
0.6235 0.5000 0.3777 As
0.7496 0.0000 0.7458 As
0.9938 0.0000 0.4982 As
```

***

Entry 4:
ScNi2Te: relaxed, GGA-PBE.

As for the crystal system: cubic. The volume comes out at 16.11 Å³ per atom. Its symmetry is F-43m, No. 216. For the total energy, the calculation gives -5.334 eV/atom.

Cell and atoms, written as POSCAR:
```
ScNi2Te
1.0
0.0000 3.1824 3.1824
3.1824 0.0000 3.1824
3.1824 3.1824 0.0000
Sc Ni Te
1 2 1
Direct
0.0000 0.0000 0.0000 Sc
0.2500 0.2500 0.2500 Ni
0.5000 0.5000 0.5000 Ni
0.7500 0.7500 0.7500 Te
```

***

Entry 5:
ScNiAsPd: relaxed, GGA-PBE.

As for the crystal system: cubic. The volume comes out at 15.34 Å³ per atom. Its symmetry is F-43m, No. 216. For the total energy, the calculation gives -6.030 eV/atom.

Cell and atoms, written as POSCAR:
```
ScNiAsPd
1.0
0.0000 3.1305 3.1305
3.1305 0.0000 3.1305
3.1305 3.1305 0.0000
Sc Ni As Pd
1 1 1 1
Direct
0.0000 0.0000 0.0000 Sc
0.7500 0.7500 0.7500 Ni
0.5000 0.5000 0.5000 As
0.2500 0.2500 0.2500 Pd
```

***

Entry 6:
Cd2Si2O5: relaxed, GGA-PBE.

As for the crystal system: tetragonal. The volume comes out at 12.37 Å³ per atom. Its symmetry is P4/mmm, No. 123. For the total energy, the calculation gives -5.676 eV/atom.

Cell and atoms, written as POSCAR:
```
Cd2Si2O5
1.0
3.4238 0.0000 0.0000
0.0000 3.4238 0.0000
0.0000 0.0000 9.5002
Cd Si O
2 2 5
Direct
0.0000 0.0000 0.0000 Cd
0.0000 0.0000 0.5000 Cd
0.5000 0.5000 0.1895 Si
0.5000 0.5000 0.8105 Si
0.0000 0.5000 0.2082 O
0.0000 0.5000 0.7918 O
0.5000 0.0000 0.2082 O
0.5000 0.0000 0.7918 O
0.5000 0.5000 0.0000 O
```